(1)
4
Lattice="-1.541 3.781 4.298 -5.723 1.540 0.135 3.024 -5.091 -0.297" Properties=species:S:1:pos:R:3 comment="Tl2WBr, relaxed, DFT PBE-GGA" formation_energy_uncorrected_ev_per_atom=1.15 spacegroup=I4/mmm pbc="T T T"
Tl 0.000 0.000 0.000
Tl -3.632 2.660 2.217
Br -1.075 0.675 3.109
W -3.166 -0.445 1.028


(2)
12
Lattice="4.295 0.000 0.000 0.000 4.295 0.000 -2.147 -2.147 4.492" Properties=species:S:1:pos:R:3 comment="Li3H8Rh, relaxed, DFT PBE-GGA" e_tot_ev_per_atom=-3.436 spacegroup=I4/mmm pbc="T T T"
Li 2.147 0.000 2.246
Li 2.147 2.147 0.000
Li 0.000 2.147 2.246
H 0.997 0.997 0.982
H 0.997 3.298 0.982
H -1.150 1.150 3.510
H -1.150 -1.150 3.510
H 3.298 3.298 0.982
H 3.298 0.997 0.982
H 1.150 -1.150 3.510
H 1.150 1.150 3.510
Rh 0.000 0.000 0.000